1.
CaSc: optimized geometry, PBE.

The structure in CIF format:
```
data_CaSc
_cell_length_a 7.654
_cell_length_b 7.654
_cell_length_c 7.654
_cell_angle_alpha 90.00
_cell_angle_beta 90.00
_cell_angle_gamma 90.00
_symmetry_space_group_name_H-M 'F -4 3 m'
_symmetry_Int_Tables_number 216
_symmetry_space_group_name_Hall 'F -4 2 3'
loop_
_atom_site_label
_atom_site_fract_x
_atom_site_fract_y
_atom_site_fract_z
Ca1 0.000 0.000 0.000
Sc1 0.250 0.250 0.250
```

Summary:
**Total energy**: -19.27 eV per cell
**Calculated density**: 1.260 Mg/m³
**Relative energy among the computed polymorphs**: 158.2 kJ/mol of atoms
**Energy relative to the elements**: 1.758 eV per atom

***

2.
Ca4Sc: optimized geometry, PBE.

The structure in CIF format:
```
data_Ca4Sc
_cell_length_a 7.710
_cell_length_b 7.710
_cell_length_c 7.710
_cell_angle_alpha 90.00
_cell_angle_beta 90.00
_cell_angle_gamma 90.00
_symmetry_space_group_name_H-M 'I m -3 m'
_symmetry_Int_Tables_number 229
_symmetry_space_group_name_Hall '-I 4 2 3'
loop_
_atom_site_label
_atom_site_fract_x
_atom_site_fract_y
_atom_site_fract_z
Ca1 0.250 0.250 0.250
Sc1 0.000 0.000 0.000
```

Summary:
**Total energy**: -23.35 eV per cell
**Calculated density**: 1.487 Mg/m³
**Relative energy among the computed polymorphs**: 6.6 kJ/mol of atoms
**Energy relative to the elements**: 0.532 eV per atom

***

3.
CaSc2: optimized geometry, PBE.

The structure in CIF format:
```
data_CaSc2
_cell_length_a 7.675
_cell_length_b 7.675
_cell_length_c 5.927
_cell_angle_alpha 90.00
_cell_angle_beta 90.00
_cell_angle_gamma 90.00
_symmetry_space_group_name_H-M 'I 4/m c m'
_symmetry_Int_Tables_number 140
_symmetry_space_group_name_Hall '-I 4 2c'
loop_
_atom_site_label
_atom_site_fract_x
_atom_site_fract_y
_atom_site_fract_z
Ca1 0.000 0.000 0.250
Sc1 0.137 0.363 0.000
```

Summary:
**Total energy**: -52.01 eV per cell
**Calculated density**: 2.473 Mg/m³
**Relative energy among the computed polymorphs**: 44.0 kJ/mol of atoms
**Energy relative to the elements**: 0.554 eV per atom

***

4.
CaSc3: optimized geometry, PBE.

The structure in CIF format:
```
data_CaSc3
_cell_length_a 5.432
_cell_length_b 5.432
_cell_length_c 5.432
_cell_angle_alpha 90.00
_cell_angle_beta 90.00
_cell_angle_gamma 90.00
_symmetry_space_group_name_H-M 'P m -3 m'
_symmetry_Int_Tables_number 221
_symmetry_space_group_name_Hall '-P 4 2 3'
loop_
_atom_site_label
_atom_site_fract_x
_atom_site_fract_y
_atom_site_fract_z
Ca1 0.000 0.000 0.000
Sc1 0.000 0.000 0.500
```

Summary:
**Total energy**: -13.77 eV per cell
**Calculated density**: 1.812 Mg/m³
**Energy relative to the elements**: 1.808 eV per atom

***

5.
CaSc: optimized geometry, PBE.

The structure in CIF format:
```
data_CaSc
_cell_length_a 6.438
_cell_length_b 6.438
_cell_length_c 6.438
_cell_angle_alpha 90.00
_cell_angle_beta 90.00
_cell_angle_gamma 90.00
_symmetry_space_group_name_H-M 'F m -3 m'
_symmetry_Int_Tables_number 225
_symmetry_space_group_name_Hall '-F 4 2 3'
loop_
_atom_site_label
_atom_site_fract_x
_atom_site_fract_y
_atom_site_fract_z
Ca1 0.000 0.000 0.000
Sc1 0.000 0.000 0.500
```

Summary:
**Total energy**: -26.80 eV per cell
**Calculated density**: 2.117 Mg/m³
**Relative energy among the computed polymorphs**: 67.4 kJ/mol of atoms
**Energy relative to the elements**: 0.817 eV per atom

***

6.
CaSc: optimized geometry, PBE.

The structure in CIF format:
```
data_CaSc
_cell_length_a 3.5164
_cell_length_b 3.5164
_cell_length_c 11.7544
_cell_angle_alpha 90.00
_cell_angle_beta 90.00
_cell_angle_gamma 120.00
_symmetry_space_group_name_H-M 'P 63/m m c'
_symmetry_Int_Tables_number 194
_symmetry_space_group_name_Hall '-P 6c 2c'
loop_
_atom_site_label
_atom_site_fract_x
_atom_site_fract_y
_atom_site_fract_z
Ca1 0.0000 0.0000 0.0000
Sc1 0.3333 0.6667 0.2500
```

Summary:
**Total energy**: -15.69 eV per cell
**Calculated density**: 2.244 Mg/m³
**Relative energy among the computed polymorphs**: 12.3 kJ/mol of atoms
**Energy relative to the elements**: 0.245 eV per atom

***

7.
Ca3Sc: optimized geometry, PBE.

The structure in CIF format:
```
data_Ca3Sc
_cell_length_a 5.968
_cell_length_b 5.968
_cell_length_c 4.030
_cell_angle_alpha 90.00
_cell_angle_beta 90.00
_cell_angle_gamma 90.00
_symmetry_space_group_name_H-M 'P 4/m m m'
_symmetry_Int_Tables_number 123
_symmetry_space_group_name_Hall '-P 4 2'
loop_
_atom_site_label
_atom_site_fract_x
_atom_site_fract_y
_atom_site_fract_z
Ca1 0.000 0.000 0.000
Ca2 0.000 0.500 0.500
Sc1 0.500 0.500 0.000
```

Summary:
**Total energy**: -11.53 eV per cell
**Calculated density**: 1.911 Mg/m³
**Relative energy among the computed polymorphs**: 5.4 kJ/mol of atoms
**Energy relative to the elements**: 0.201 eV per atom

***

8.
CaSc3: optimized geometry, PBE.

The structure in CIF format:
```
data_CaSc3
_cell_length_a 3.680
_cell_length_b 3.680
_cell_length_c 8.443
_cell_angle_alpha 90.00
_cell_angle_beta 90.00
_cell_angle_gamma 90.00
_symmetry_space_group_name_H-M 'P 4/m m m'
_symmetry_Int_Tables_number 123
_symmetry_space_group_name_Hall '-P 4 2'
loop_
_atom_site_label
_atom_site_fract_x
_atom_site_fract_y
_atom_site_fract_z
Ca1 0.000 0.000 0.000
Sc1 0.000 0.000 0.500
Sc2 0.500 0.500 0.298
```

Summary:
**Total energy**: -20.45 eV per cell
**Calculated density**: 2.541 Mg/m³
**Energy relative to the elements**: 0.136 eV per atom

***

9.
CaSc: optimized geometry, PBE.

The structure in CIF format:
```
data_CaSc
_cell_length_a 3.5356
_cell_length_b 3.5356
_cell_length_c 11.6501
_cell_angle_alpha 90.00
_cell_angle_beta 90.00
_cell_angle_gamma 120.00
_symmetry_space_group_name_H-M 'P -3 m 1'
_symmetry_Int_Tables_number 164
_symmetry_space_group_name_Hall '-P 3 2"'
loop_
_atom_site_label
_atom_site_fract_x
_atom_site_fract_y
_atom_site_fract_z
Ca1 0.3333 0.6667 0.1434
Sc1 0.3333 0.6667 0.6044
```

Summary:
**Total energy**: -16.07 eV per cell
**Calculated density**: 2.239 Mg/m³
**Relative energy among the computed polymorphs**: 3.0 kJ/mol of atoms
**Energy relative to the elements**: 0.149 eV per atom

***

10.
CaSc3: optimized geometry, PBE.

The structure in CIF format:
```
data_CaSc3
_cell_length_a 4.811
_cell_length_b 4.811
_cell_length_c 4.811
_cell_angle_alpha 90.00
_cell_angle_beta 90.00
_cell_angle_gamma 90.00
_symmetry_space_group_name_H-M 'P m -3 m'
_symmetry_Int_Tables_number 221
_symmetry_space_group_name_Hall '-P 4 2 3'
loop_
_atom_site_label
_atom_site_fract_x
_atom_site_fract_y
_atom_site_fract_z
Ca1 0.000 0.000 0.000
Sc1 0.000 0.500 0.500
```

Summary:
**Total energy**: -20.07 eV per cell
**Calculated density**: 2.609 Mg/m³
**Energy relative to the elements**: 0.232 eV per atom

***

11.
CaSc2: optimized geometry, PBE.

The structure in CIF format:
```
data_CaSc2
_cell_length_a 4.916
_cell_length_b 14.464
_cell_length_c 4.919
_cell_angle_alpha 90.00
_cell_angle_beta 90.00
_cell_angle_gamma 90.00
_symmetry_space_group_name_H-M 'C m c m'
_symmetry_Int_Tables_number 63
_symmetry_space_group_name_Hall '-C 2c 2'
loop_
_atom_site_label
_atom_site_fract_x
_atom_site_fract_y
_atom_site_fract_z
Ca1 0.000 0.088 0.250
Sc1 0.000 0.250 0.750
Sc2 0.000 0.407 0.250
```

Summary:
**Total energy**: -55.88 eV per cell
**Calculated density**: 2.469 Mg/m³
**Relative energy among the computed polymorphs**: 12.9 kJ/mol of atoms
**Energy relative to the elements**: 0.232 eV per atom

***

12.
CaSc: optimized geometry, PBE.

The structure in CIF format:
```
data_CaSc
_cell_length_a 3.482
_cell_length_b 3.482
_cell_length_c 5.221
_cell_angle_alpha 90.00
_cell_angle_beta 90.00
_cell_angle_gamma 90.00
_symmetry_space_group_name_H-M 'P 4/m m m'
_symmetry_Int_Tables_number 123
_symmetry_space_group_name_Hall '-P 4 2'
loop_
_atom_site_label
_atom_site_fract_x
_atom_site_fract_y
_atom_site_fract_z
Ca1 0.000 0.000 0.000
Sc1 0.500 0.500 0.500
```

Summary:
**Total energy**: -7.79 eV per cell
**Calculated density**: 2.230 Mg/m³
**Relative energy among the computed polymorphs**: 14.9 kJ/mol of atoms
**Energy relative to the elements**: 0.273 eV per atom